First-principles (PBE) data for KLaCuTe4 after structural relaxation, as listed in Alexandria via LeMat-Bulk.

Lattice parameters (Å, degrees): 4.4758 4.4758 21.8058 90.00 90.00 90.00
Last column: nearest neighbours and their distance in Å.
Fractional positions:
K  0.2500  0.2500  0.1437  8 Te 3.57-3.79, 4 Cu 3.85
K  0.7500  0.7500  0.8563  8 Te 3.57-3.79, 4 Cu 3.85
La  0.2500  0.2500  0.5980  9 Te 3.29-3.41
La  0.7500  0.7500  0.4020  9 Te 3.29-3.41
Cu  0.2500  0.7500  0.0000  4 Te 2.69
Cu  0.7500  0.2500  0.0000  4 Te 2.69
Te  0.2500  0.2500  0.4437  5 La 3.29-3.36
Te  0.2500  0.2500  0.9320  4 Cu 2.69
Te  0.2500  0.7500  0.2842  4 Te 3.16, 2 La 3.41
Te  0.2500  0.7500  0.7158  4 Te 3.16, 2 La 3.41
Te  0.7500  0.2500  0.2842  4 Te 3.16, 2 La 3.41
Te  0.7500  0.2500  0.7158  4 Te 3.16, 2 La 3.41
Te  0.7500  0.7500  0.0680  4 Cu 2.69
Te  0.7500  0.7500  0.5563  5 La 3.29-3.36

Computed properties:
uncorrected formation energy	-0.8959	eV per atom
calculated total energy	-0.1520	Ha/atom
DOS(E_F)	8.22	states/eV per cell
M_tot	0.0	μB/cell